# Re2HgAu, optimized geometry, DFT PBE
# magnetic moment = 0.0 μB per formula unit
# calculated total energy = -49.76 eV for the cell shown
data_Re2HgAu
_space_group_name_H-M_alt 'I 4/m m m'
_space_group_IT_number 139
_space_group_name_Hall '-I 4 2'
_cell_length_a 3.906
_cell_length_b 3.906
_cell_length_c 8.851
_cell_angle_alpha 90.00
_cell_angle_beta 90.00
_cell_angle_gamma 90.00
loop_
_atom_site_label
_atom_site_type_symbol
_atom_site_fract_x
_atom_site_fract_y
_atom_site_fract_z
_atom_site_occupancy
Re1 Re 0.000 0.500 0.250 1
Hg1 Hg 0.000 0.000 0.000 1
Au1 Au 0.000 0.000 0.500 1



# ReHgAu2, optimized geometry, DFT PBE
# magnetic moment = 2.2 μB per formula unit
# calculated total energy = -61.84 eV for the cell shown
data_ReHgAu2
_space_group_name_H-M_alt 'I -4 2 d'
_space_group_IT_number 122
_space_group_name_Hall 'I -4 2bw'
_cell_length_a 3.991
_cell_length_b 3.991
_cell_length_c 19.843
_cell_angle_alpha 90.00
_cell_angle_beta 90.00
_cell_angle_gamma 90.00
loop_
_atom_site_label
_atom_site_type_symbol
_atom_site_fract_x
_atom_site_fract_y
_atom_site_fract_z
_atom_site_occupancy
Re1 Re 0.000 0.000 0.000 1
Hg1 Hg 0.000 0.000 0.500 1
Au1 Au 0.242 0.250 0.125 1